## K2SiGe (GGA-PBE)

Data for a relaxed K2SiGe crystal.

Fermi-level density of states   0.0 states/eV/f.u.
Energy relative to the elements, uncorrected   0.534 eV per atom
Relative energy among the computed polymorphs   0.3431 eV/atom
Symmetry   Fm-3m (225)

Cell: 5.6046 5.6046 5.6046 Å, 60.00 60.00 60.00°
Last column: nearest neighbours and their distance in Å.
Element x y z (fractional)
K1 0.2500 0.2500 0.2500  4 Ge 3.43, 4 Si 3.43
K2 0.7500 0.7500 0.7500  4 Ge 3.43, 4 Si 3.43
Si1 0.0000 0.0000 0.0000  8 K 3.43
Ge1 0.5000 0.5000 0.5000  8 K 3.43

## KSiGe3 (GGA-PBE)

Data for a relaxed KSiGe3 crystal.

Fermi-level density of states   2.9 states/eV/f.u.
Energy relative to the elements, uncorrected   0.416 eV per atom
Relative energy among the computed polymorphs   0.0000 eV/atom
Symmetry   Pm-3m (221)

Cell: 4.9997 4.9997 4.9997 Å, 90.00 90.00 90.00°
Last column: nearest neighbours and their distance in Å.
Element x y z (fractional)
K1 0.0000 0.0000 0.0000  12 Ge 3.54
Si1 0.5000 0.5000 0.5000  6 Ge 2.50
Ge1 0.0000 0.5000 0.5000  2 Si 2.50
Ge2 0.5000 0.0000 0.5000  2 Si 2.50
Ge3 0.5000 0.5000 0.0000  2 Si 2.50

## KSi2Ge (GGA-PBE)

Data for a relaxed KSi2Ge crystal.

Fermi-level density of states   2.0 states/eV/f.u.
Energy relative to the elements, uncorrected   0.252 eV per atom
Symmetry   I4_1/amd (141)

Cell: 9.4221 9.4221 9.4221 Å, 149.51 149.51 43.67°
Last column: nearest neighbours and their distance in Å.
Element x y z (fractional)
K1 0.3750 0.6250 0.7500  4 Ge 3.50, 8 Si 3.53
K2 0.6250 0.3750 0.2500  4 Ge 3.50, 8 Si 3.53
Si1 0.0000 0.0000 0.0000  2 Si 2.48, 2 Ge 2.51
Si2 0.0000 0.0000 0.5000  2 Si 2.48, 2 Ge 2.51
Si3 0.0000 0.5000 0.0000  2 Si 2.48, 2 Ge 2.51
Si4 0.5000 0.0000 0.5000  2 Si 2.48, 2 Ge 2.51
Ge1 0.1250 0.8750 0.2500  4 Si 2.51
Ge2 0.8750 0.1250 0.7500  4 Si 2.51

## KSi2SnGe (GGA-PBE)

Data for a relaxed KSi2SnGe crystal.

Fermi-level density of states   4.6 states/eV/f.u.
Energy relative to the elements, uncorrected   1.716 eV per atom
Symmetry   P4/mmm (123)

Cell: 5.3788 5.3788 5.4112 Å, 90.00 90.00 90.00°
Last column: nearest neighbours and their distance in Å.
Element x y z (fractional)
K1 0.0000 0.0000 0.0000  4 Si 2.69, 2 Ge 2.71
Si1 0.0000 0.5000 0.0000  2 K 2.69
Si2 0.5000 0.0000 0.0000  2 K 2.69
Sn1 0.5000 0.5000 0.5000  4 Ge 3.80, 8 Si 3.81
Ge1 0.0000 0.0000 0.5000  2 K 2.71

## KTa2SiGe (GGA-PBE)

Data for a relaxed KTa2SiGe crystal.

Fermi-level density of states   4.7 states/eV/f.u.
Energy relative to the elements, uncorrected   1.473 eV per atom
Symmetry   P4/mmm (123)

Cell: 4.8634 4.8634 5.3760 Å, 90.00 90.00 90.00°
Last column: nearest neighbours and their distance in Å.
Element x y z (fractional)
K1 0.0000 0.0000 0.0000  2 Ge 2.69
Ta1 0.0000 0.5000 0.5000  2 Ge 2.43
Ta2 0.5000 0.0000 0.5000  2 Ge 2.43
Si1 0.5000 0.5000 0.0000  4 K 3.44, 8 Ta 3.62
Ge1 0.0000 0.0000 0.5000  4 Ta 2.43, 2 K 2.69

## KSi2TcGe (GGA-PBE)

Data for a relaxed KSi2TcGe crystal.

Fermi-level density of states   4.4 states/eV/f.u.
Energy relative to the elements, uncorrected   2.502 eV per atom
Symmetry   P4/mmm (123)

Cell: 5.2578 5.2578 4.9469 Å, 90.00 90.00 90.00°
Last column: nearest neighbours and their distance in Å.
Element x y z (fractional)
K1 0.0000 0.0000 0.0000  2 Tc 2.47, 4 Si 2.63
Si1 0.0000 0.5000 0.0000  2 K 2.63
Si2 0.5000 0.0000 0.0000  2 K 2.63
Tc1 0.0000 0.0000 0.5000  2 K 2.47
Ge1 0.5000 0.5000 0.5000  8 Si 3.61, 4 Tc 3.72

## KYSiGe2 (GGA-PBE)

Data for a relaxed KYSiGe2 crystal.

Fermi-level density of states   2.2 states/eV/f.u.
Energy relative to the elements, uncorrected   0.382 eV per atom
Symmetry   P4/mmm (123)

Cell: 5.5077 5.5077 5.4481 Å, 90.00 90.00 90.00°
Last column: nearest neighbours and their distance in Å.
Element x y z (fractional)
K1 0.0000 0.0000 0.0000  8 Ge 3.87, 4 Si 3.89
Y1 0.5000 0.5000 0.5000  2 Si 2.72, 4 Ge 2.75
Si1 0.5000 0.5000 0.0000  2 Y 2.72
Ge1 0.0000 0.5000 0.5000  2 Y 2.75
Ge2 0.5000 0.0000 0.5000  2 Y 2.75

## KSmGe4 (GGA-PBE)

Data for a relaxed KSmGe4 crystal.

Symmetry   F-43m (216)
Formation enthalpy at 0 K   -219 meV/atom

Cell: 5.7668 5.7668 5.7668 Å, 60.00 60.00 60.00°
Last column: nearest neighbours and their distance in Å.
Element x y z (fractional)
K1 0.0000 0.0000 0.0000  12 Ge 3.39, 4 Sm 3.53
Sm1 0.7500 0.7500 0.7500  12 Ge 3.37, 4 K 3.53
Ge1 0.3783 0.3783 0.3783  6 Ge 2.81-2.96
Ge2 0.3783 0.3783 0.8652  6 Ge 2.81-2.96
Ge3 0.3783 0.8652 0.3783  6 Ge 2.81-2.96
Ge4 0.8652 0.3783 0.3783  6 Ge 2.81-2.96

## KSn2Ge (GGA-PBE)

Data for a relaxed KSn2Ge crystal.

Fermi-level density of states   2.8 states/eV/f.u.
Symmetry   R3m (160)
Formation enthalpy at 0 K   9 meV/atom

Cell: 7.0447 7.0447 7.0447 Å, 40.83 40.83 40.83°
Last column: nearest neighbours and their distance in Å.
Element x y z (fractional)
K1 0.0000 0.0000 0.0000  7 Sn 3.72-4.02, 4 Ge 3.74-3.92
Sn1 0.5422 0.5422 0.5422  3 Ge 2.85
Sn2 0.7924 0.7924 0.7924  3 Ge 3.13, 3 Sn 3.26
Ge1 0.1934 0.1934 0.1934  6 Sn 2.85-3.13

## KSn2Ge (GGA-PBE)

Data for a relaxed KSn2Ge crystal.

Fermi-level density of states   1.5 states/eV/f.u.
Symmetry   P4/mmm (123)
Formation enthalpy at 0 K   -62 meV/atom

Cell: 3.8366 3.8366 7.9417 Å, 90.00 90.00 90.00°
Last column: nearest neighbours and their distance in Å.
Element x y z (fractional)
K1 0.0000 0.0000 0.0000  8 Sn 3.70, 4 K 3.84, 2 Ge 3.97
Sn1 0.5000 0.5000 0.3170  1 Sn 2.91, 4 Ge 3.08
Sn2 0.5000 0.5000 0.6830  1 Sn 2.91, 4 Ge 3.08
Ge1 0.0000 0.0000 0.5000  8 Sn 3.08

## K3Sn3Ge2 (GGA-PBE)

Data for a relaxed K3Sn3Ge2 crystal.

Fermi-level density of states   4.3 states/eV/f.u.
Symmetry   Cmcm (63)
Formation enthalpy at 0 K   -96 meV/atom

Cell: 6.6858 6.6858 14.8281 Å, 90.00 90.00 128.19°
Last column: nearest neighbours and their distance in Å.
Element x y z (fractional)
K1 0.0099 0.9901 0.7500  7 Sn 3.65-3.75, 6 Ge 3.75-4.02, 2 K 3.92
K2 0.1599 0.8401 0.0247  3 Ge 3.34-3.63, 2 K 3.71
K3 0.1599 0.8401 0.4753  3 Ge 3.34-3.63, 2 K 3.71
K4 0.8401 0.1599 0.5247  3 Ge 3.34-3.63, 2 K 3.71
K5 0.8401 0.1599 0.9753  3 Ge 3.34-3.63, 2 K 3.71
K6 0.9901 0.0099 0.2500  7 Sn 3.65-3.75, 6 Ge 3.75-4.02, 2 K 3.92
Sn1 0.3021 0.6979 0.2500  2 Sn 3.11, 4 Ge 3.42
Sn2 0.4853 0.5147 0.1020  1 Ge 2.71
Sn3 0.4853 0.5147 0.3980  1 Ge 2.71
Sn4 0.5147 0.4853 0.6020  1 Ge 2.71
Sn5 0.5147 0.4853 0.8980  1 Ge 2.71
Sn6 0.6979 0.3021 0.7500  2 Sn 3.11, 4 Ge 3.42
Ge1 0.3047 0.6953 0.6674  1 Ge 2.45, 1 Sn 2.71
Ge2 0.3047 0.6953 0.8326  1 Ge 2.45, 1 Sn 2.71
Ge3 0.6953 0.3047 0.1674  1 Ge 2.45, 1 Sn 2.71
Ge4 0.6953 0.3047 0.3326  1 Ge 2.45, 1 Sn 2.71

## K2SnGe2 (GGA-PBE)

Data for a relaxed K2SnGe2 crystal.

Fermi-level density of states   1.8 states/eV/f.u.
Symmetry   P4/mbm (127)
Formation enthalpy at 0 K   -77 meV/atom

Cell: 7.3185 7.3185 5.6455 Å, 90.00 90.00 90.00°
Last column: nearest neighbours and their distance in Å.
Element x y z (fractional)
K1 0.1832 0.3168 0.0000  6 Ge 3.48-3.62, 5 K 3.79, 4 Sn 3.89
K2 0.3168 0.8168 0.0000  6 Ge 3.48-3.62, 5 K 3.79, 4 Sn 3.89
K3 0.6832 0.1832 0.0000  6 Ge 3.48-3.62, 5 K 3.79, 4 Sn 3.89
K4 0.8168 0.6832 0.0000  6 Ge 3.48-3.62, 5 K 3.79, 4 Sn 3.89
Sn1 0.0000 0.0000 0.5000  4 Ge 2.91
Sn2 0.5000 0.5000 0.5000  4 Ge 2.91
Ge1 0.1206 0.6206 0.5000  1 Ge 2.50
Ge2 0.3794 0.1206 0.5000  1 Ge 2.50
Ge3 0.6206 0.8794 0.5000  1 Ge 2.50
Ge4 0.8794 0.3794 0.5000  1 Ge 2.50

## K3Sn4Ge (GGA-PBE)

Data for a relaxed K3Sn4Ge crystal.

Fermi-level density of states   2.9 states/eV/f.u.
Symmetry   Pmmn (59)
Formation enthalpy at 0 K   -181 meV/atom

Cell: 6.7619 13.0354 6.6283 Å, 90.00 90.00 90.00°
Last column: nearest neighbours and their distance in Å.
Element x y z (fractional)
K1 0.2500 0.0008 0.1777  1 Ge 3.37, 2 Sn 3.66-3.73
K2 0.2500 0.4992 0.1777  1 Ge 3.37, 2 Sn 3.66-3.73
K3 0.2500 0.7500 0.5511  2 Ge 3.50, 4 Sn 3.63-3.78
K4 0.7500 0.2500 0.4489  2 Ge 3.50, 4 Sn 3.63-3.78
K5 0.7500 0.5008 0.8223  1 Ge 3.37, 2 Sn 3.66-3.73
K6 0.7500 0.9992 0.8223  1 Ge 3.37, 2 Sn 3.66-3.73
Sn1 0.0058 0.7500 0.0380  1 Ge 2.90, 2 Sn 3.05
Sn2 0.2500 0.1266 0.6721  1 Ge 2.87, 2 Sn 3.05
Sn3 0.2500 0.3734 0.6721  1 Ge 2.87, 2 Sn 3.05
Sn4 0.4942 0.7500 0.0380  1 Ge 2.90, 2 Sn 3.05
Sn5 0.5058 0.2500 0.9620  1 Ge 2.90, 2 Sn 3.05
Sn6 0.7500 0.6266 0.3279  1 Ge 2.87, 2 Sn 3.05
Sn7 0.7500 0.8734 0.3279  1 Ge 2.87, 2 Sn 3.05
Sn8 0.9942 0.2500 0.9620  1 Ge 2.90, 2 Sn 3.05
Ge1 0.2500 0.2500 0.3132  4 Sn 2.87-2.90
Ge2 0.7500 0.7500 0.6868  4 Sn 2.87-2.90

## KSnGe3 (GGA-PBE)

Data for a relaxed KSnGe3 crystal.

Fermi-level density of states   4.0 states/eV/f.u.
Relative energy among the computed polymorphs   0.0000 eV/atom
Symmetry   Pm-3m (221)
Formation enthalpy at 0 K   537 meV/atom

Cell: 5.4515 5.4515 5.4515 Å, 90.00 90.00 90.00°
Last column: nearest neighbours and their distance in Å.
Element x y z (fractional)
K1 0.0000 0.0000 0.0000  12 Ge 3.85
Sn1 0.5000 0.5000 0.5000  6 Ge 2.73
Ge1 0.0000 0.5000 0.5000  2 Sn 2.73
Ge2 0.5000 0.0000 0.5000  2 Sn 2.73
Ge3 0.5000 0.5000 0.0000  2 Sn 2.73

## KSn2Ge (GGA-PBE)

Data for a relaxed KSn2Ge crystal.

Fermi-level density of states   2.7 states/eV/f.u.
Symmetry   R-3m (166)
Formation enthalpy at 0 K   9 meV/atom

Cell: 7.0857 7.0857 7.0857 Å, 40.00 40.00 40.00°
Last column: nearest neighbours and their distance in Å.
Element x y z (fractional)
K1 0.0000 0.0000 0.0000  6 Sn 3.66
Sn1 0.2125 0.2125 0.2125  3 Ge 2.94
Sn2 0.7875 0.7875 0.7875  3 Ge 2.94
Ge1 0.5000 0.5000 0.5000  6 Sn 2.94

## KSn2Ge (GGA-PBE)

Data for a relaxed KSn2Ge crystal.

Fermi-level density of states   2.3 states/eV/f.u.
Symmetry   I-42d (122)
Formation enthalpy at 0 K   110 meV/atom

Cell: 10.3006 10.3006 10.3006 Å, 148.22 148.22 45.56°
Last column: nearest neighbours and their distance in Å.
Element x y z (fractional)
K1 0.0000 0.0000 0.0000  4 Sn 3.60, 4 Ge 3.99
K2 0.7500 0.2500 0.5000  4 Sn 3.60, 4 Ge 3.99
Sn1 0.2843 0.6250 0.1593  2 Ge 2.81, 2 Sn 3.00
Sn2 0.3750 0.5343 0.6593  2 Ge 2.81, 2 Sn 3.00
Sn3 0.4657 0.1250 0.8407  2 Ge 2.81, 2 Sn 3.00
Sn4 0.8750 0.7157 0.3407  2 Ge 2.81, 2 Sn 3.00
Ge1 0.2500 0.7500 0.5000  4 Sn 2.81
Ge2 0.5000 0.5000 0.0000  4 Sn 2.81

## KSnGe3 (GGA-PBE)

Data for a relaxed KSnGe3 crystal.

Fermi-level density of states   5.1 states/eV/f.u.
Relative energy among the computed polymorphs   0.8467 eV/atom
Symmetry   Pm-3m (221)
Formation enthalpy at 0 K   1383 meV/atom

Cell: 5.4606 5.4606 5.4606 Å, 90.00 90.00 90.00°
Last column: nearest neighbours and their distance in Å.
Element x y z (fractional)
K1 0.0000 0.0000 0.0000  6 Ge 2.73
Sn1 0.5000 0.5000 0.5000  12 Ge 3.86
Ge1 0.0000 0.0000 0.5000  2 K 2.73
Ge2 0.0000 0.5000 0.0000  2 K 2.73
Ge3 0.5000 0.0000 0.0000  2 K 2.73

## KSnGe2W (GGA-PBE)

Data for a relaxed KSnGe2W crystal.

Fermi-level density of states   3.1 states/eV/f.u.
Symmetry   P4/mmm (123)
Formation enthalpy at 0 K   892 meV/atom

Cell: 4.9671 4.9671 6.0550 Å, 90.00 90.00 90.00°
Last column: nearest neighbours and their distance in Å.
Element x y z (fractional)
K1 0.0000 0.0000 0.0000  2 W 3.03
Sn1 0.5000 0.5000 0.0000  4 K 3.51, 8 Ge 3.92
Ge1 0.0000 0.5000 0.5000  2 W 2.48
Ge2 0.5000 0.0000 0.5000  2 W 2.48
W1 0.0000 0.0000 0.5000  4 Ge 2.48

## K2Zn4SnGe3 (GGA-PBE)

Data for a relaxed K2Zn4SnGe3 crystal.

Fermi-level density of states   3.2 states/eV/f.u.
Symmetry   P-4m2 (115)
Formation enthalpy at 0 K   -78 meV/atom

Cell: 4.4281 4.4281 11.3938 Å, 90.00 90.00 90.00°
Last column: nearest neighbours and their distance in Å.
Element x y z (fractional)
K1 0.0000 0.5000 0.2392  8 Zn 3.37-3.51, 6 Ge 3.39-3.71, 2 Sn 3.71
K2 0.5000 0.0000 0.7608  8 Zn 3.37-3.51, 6 Ge 3.39-3.71, 2 Sn 3.71
Zn1 0.0000 0.0000 0.0000  4 Ge 2.64
Zn2 0.0000 0.5000 0.6517  3 Ge 2.53-2.81, 2 Sn 2.81
Zn3 0.5000 0.0000 0.3483  3 Ge 2.53-2.81, 2 Sn 2.81
Zn4 0.5000 0.5000 0.0000  4 Ge 2.64
Sn1 0.0000 0.0000 0.5000  4 Zn 2.81, 4 Ge 3.13
Ge1 0.0000 0.5000 0.8737  5 Zn 2.53-2.64
Ge2 0.5000 0.0000 0.1263  5 Zn 2.53-2.64
Ge3 0.5000 0.5000 0.5000  4 Zn 2.81, 4 Sn 3.13

## K3SrGe (GGA-PBE)

Data for a relaxed K3SrGe crystal.

Fermi-level density of states   2.8 states/eV/f.u.
Relative energy among the computed polymorphs   0.6483 eV/atom
Symmetry   Pm-3m (221)
Formation enthalpy at 0 K   911 meV/atom

Cell: 7.7379 7.7379 7.7379 Å, 90.00 90.00 90.00°
Last column: nearest neighbours and their distance in Å.
Element x y z (fractional)
K1 0.0000 0.0000 0.5000  2 Sr 3.87
K2 0.0000 0.5000 0.0000  2 Sr 3.87
K3 0.5000 0.0000 0.0000  2 Sr 3.87
Sr1 0.0000 0.0000 0.0000  6 K 3.87
Ge1 0.5000 0.5000 0.5000  12 K 5.47

no.,volume (Å³/cell),magnetization (μB/f.u.),raw total energy (eV/atom)
1,124,0.0,-2.525
2,125,0.0,-3.659
3,215,0.0,-3.889
4,157,0.0,-2.397
5,127,0.7,-5.496
6,137,2.9,-2.884
7,165,0.0,-4.062
8,136,0.0,-4.267
9,135,0.0,-3.421
10,117,0.0,-3.492
11,521,0.0,-3.163
12,302,0.0,-3.163
13,584,0.0,-3.171
14,162,0.0,-3.254
15,132,0.0,-3.421
16,302,0.0,-3.320
17,163,0.0,-2.407
18,149,1.1,-4.566
19,223,0.0,-2.592
20,463,1.1,-1.007